# 1
HoCu3Pt: optimized geometry, PBE.

POSCAR file:
```
HoCu3Pt
1.0
-2.404 2.404 8.797
2.404 -2.404 8.797
2.404 2.404 -8.797
Ho Cu Pt
2 6 2
direct
0.171 0.171 0.000
0.829 0.829 0.000
0.374 0.621 0.753
0.379 0.132 0.753
0.379 0.626 0.247
0.561 0.061 0.500
0.868 0.621 0.247
0.939 0.439 0.500
0.250 0.750 0.500
0.500 0.500 0.000
```

Computed properties:
Crystal system: tetragonal
Total magnetization, μB per cell: 0.00
DFT total energy, eV/atom: -4.6146
E_form, eV/atom: -0.033
Space-group type: No. 119

# 2
Ho2CuPt: optimized geometry, PBE.

POSCAR file:
```
Ho2CuPt
1.0
0.000 3.465 3.465
3.465 0.000 3.465
3.465 3.465 0.000
Ho Cu Pt
2 1 1
direct
0.250 0.250 0.250
0.750 0.750 0.750
0.000 0.000 0.000
0.500 0.500 0.500
```

Computed properties:
Crystal system: cubic
Total magnetization, μB per cell: 0.00
DFT total energy, eV/atom: -5.6134
E_form, eV/atom: -0.790
Space-group type: No. 225

# 3
HoCuPt2: optimized geometry, PBE.

POSCAR file:
```
HoCuPt2
1.0
2.191 1.265 4.451
-2.191 1.265 4.451
0.000 -2.530 4.451
Ho Cu Pt
1 1 2
direct
0.000 0.000 0.000
0.500 0.500 0.500
0.215 0.215 0.215
0.785 0.785 0.785
```

Computed properties:
Crystal system: trigonal
Total magnetization, μB per cell: 0.00
DFT total energy, eV/atom: -5.9419
E_form, eV/atom: -0.753
Space-group type: No. 166

# 4
Ho4CuPt3: optimized geometry, PBE.

POSCAR file:
```
Ho4CuPt3
1.0
3.723 0.000 0.000
0.000 4.487 0.000
0.000 0.000 10.485
Ho Cu Pt
4 1 3
direct
0.000 0.000 0.000
0.000 0.500 0.275
0.500 0.000 0.495
0.500 0.500 0.773
0.000 0.000 0.713
0.000 0.500 0.559
0.500 0.000 0.225
0.500 0.500 0.044
```

Computed properties:
Crystal system: orthorhombic
Total magnetization, μB per cell: 0.00
DFT total energy, eV/atom: -6.1315
E_form, eV/atom: -1.065
Space-group type: No. 25

# 5
Ho2Cu3Pt: optimized geometry, PBE.

POSCAR file:
```
Ho2Cu3Pt
1.0
3.529 0.000 0.000
0.000 4.323 0.000
0.000 0.000 7.378
Ho Cu Pt
2 3 1
direct
0.000 0.000 0.000
0.000 0.500 0.483
0.500 0.000 0.671
0.500 0.500 0.144
0.500 0.500 0.819
0.500 0.000 0.327
```

Computed properties:
Crystal system: orthorhombic
Total magnetization, μB per cell: 0.00
DFT total energy, eV/atom: -5.1138
E_form, eV/atom: -0.533
Space-group type: No. 25

# 6
Ho2CuPt: optimized geometry, PBE.

POSCAR file:
```
Ho2CuPt
1.0
4.901 0.000 0.000
0.000 4.901 0.000
0.000 0.000 3.467
Ho Cu Pt
2 1 1
direct
0.000 0.500 0.000
0.500 0.000 0.000
0.000 0.000 0.500
0.500 0.500 0.500
```

Computed properties:
Crystal system: tetragonal
Total magnetization, μB per cell: 0.00
DFT total energy, eV/atom: -5.5979
E_form, eV/atom: -0.775
Space-group type: No. 123